DFT (PBE-GGA) results for a relaxed structure of Tb4Sm2Ho5.

Energy above the lowest structure with this stoichiometry: 17.5 kJ per mole of atoms
Size of the total moment: 0.001 μB per formula unit
DOS at the Fermi energy: 16.68 states/eV/cell
Formation energy from the elements: 0.23 eV/atom

Cell lengths 12.5310, 12.5310, 12.5310 Å; angles 163.97, 137.72, 45.50 degrees
Last column: nearest neighbours and their distance in Å.
Atoms (fractional coordinates):
1 Tb 0.0968 0.0968 0.0000  1 Sm 3.12, 4 Tb 3.34, 4 Ho 3.43
2 Tb 0.1939 0.5000 0.6939  4 Ho 3.27-3.46, 7 Tb 3.34-3.51
3 Tb 0.8061 0.5000 0.3061  4 Ho 3.27-3.46, 7 Tb 3.34-3.51
4 Tb 0.9032 0.9032 0.0000  1 Sm 3.12, 4 Tb 3.34, 4 Ho 3.43
5 Sm 0.2316 0.2316 0.0000  1 Tb 3.12, 2 Ho 3.39
6 Sm 0.7684 0.7684 0.0000  1 Tb 3.12, 2 Ho 3.39
7 Ho 0.1608 0.3567 0.8041  1 Sm 3.39, 3 Tb 3.43-3.46, 3 Ho 3.49-3.54
8 Ho 0.4474 0.6433 0.8041  1 Sm 3.39, 3 Tb 3.43-3.46, 3 Ho 3.49-3.54
9 Ho 0.5000 0.0000 0.5000  4 Tb 3.27, 2 Ho 3.49
10 Ho 0.5526 0.3567 0.1959  1 Sm 3.39, 3 Tb 3.43-3.46, 3 Ho 3.49-3.54
11 Ho 0.8392 0.6433 0.1959  1 Sm 3.39, 3 Tb 3.43-3.46, 3 Ho 3.49-3.54